! CsHoMo2O8, relaxed, DFT PBE with a Hubbard U; values from VASP
&SYSTEM
  ibrav = 0, nat = 24, ntyp = 4
/
ATOMIC_SPECIES
Cs 132.91 Cs.upf
Ho 164.93 Ho.upf
Mo 95.94 Mo.upf
O 16.00 O.upf
CELL_PARAMETERS angstrom
5.0876 0.0000 0.0000
0.0000 9.7547 0.0000
0.0000 0.0000 8.1571
ATOMIC_POSITIONS crystal
Cs 0.0000 0.0000 0.2500
Cs 0.0000 0.0000 0.7500
Ho 0.0000 0.5000 0.2500
Ho 0.0000 0.5000 0.7500
Mo 0.4756 0.3088 0.0000
Mo 0.4756 0.6912 0.5000
Mo 0.5244 0.3088 0.5000
Mo 0.5244 0.6912 0.0000
O 0.2478 0.4349 0.5000
O 0.2478 0.5651 0.0000
O 0.2585 0.3185 0.1753
O 0.2585 0.3185 0.8247
O 0.2585 0.6815 0.3247
O 0.2585 0.6815 0.6753
O 0.3913 0.1432 0.5000
O 0.3913 0.8568 0.0000
O 0.6087 0.1432 0.0000
O 0.6087 0.8568 0.5000
O 0.7415 0.3185 0.3247
O 0.7415 0.3185 0.6753
O 0.7415 0.6815 0.1753
O 0.7415 0.6815 0.8247
O 0.7522 0.4349 0.0000
O 0.7522 0.5651 0.5000
! Symmetry   Pccm
! Total energy   -7.1192 eV/atom